Below is crystalline Lu3Hg at its relaxed geometry, with properties calculated at the PBEsol level.

Computed properties:
final energy = -4.006 eV/atom
magnetization = 0.00 μB/f.u.
formation enthalpy at 0 K = -0.84 eV/f.u.
space group = Pm-3m (221)

```
data_Lu3Hg
_symmetry_space_group_name_H-M 'P 1'
_symmetry_Int_Tables_number 1
_symmetry_space_group_name_Hall 'P 1'
_cell_length_a 4.615
_cell_length_b 4.615
_cell_length_c 4.615
_cell_angle_alpha 90.00
_cell_angle_beta 90.00
_cell_angle_gamma 90.00
loop_
_atom_site_label
_atom_site_fract_x
_atom_site_fract_y
_atom_site_fract_z
Hg1 0.000 0.000 0.000
Lu1 0.500 0.500 0.000
Lu2 0.000 0.500 0.500
Lu3 0.500 0.000 0.500
```